A relaxed AcLa2Hg4 crystal, computed with PBE-GGA.

Formation energy (eV per atom): -0.349
Theoretical density (g cm⁻³): 9.33
N(E_F) (states/eV per cell): 19.5
Size of the total moment (μB per formula unit): 0.000

Unit cell a=5.3781 b=5.3781 c=27.8677 alpha=90.00 beta=90.00 gamma=120.00
Space group R-3m (No. 166, hexagonal axes)
Inequivalent atoms, fractional coordinates:
Ac  0.0000  0.0000  0.0000
La  0.0000  0.0000  0.2401
Hg  0.0000  0.0000  0.1252
Hg  0.0000  0.0000  0.3842



A relaxed Ce3Tm4Te8 crystal, computed with PBE-GGA.

ΔE_f (raw) (eV per atom): -1.32
Theoretical density (g cm⁻³): 7.39
N(E_F) (states/eV per cell): 45.6
Size of the total moment (μB per formula unit): 3.781

Unit cell a=12.3737 b=12.3969 c=8.7276 alpha=90.00 beta=134.72 gamma=90.00
Space group C2/m (No. 12)
Inequivalent atoms, fractional coordinates:
Ce  0.0000  0.0000  0.0000
Ce  0.2500  0.2500  0.0000
Tm  0.0000  0.5000  0.0000
Tm  0.0000  0.5000  0.5000
Tm  0.2500  0.2500  0.5000
Te  0.0000  0.2493  0.5000
Te  0.0000  0.2553  0.0000
Te  0.2448  0.5000  0.0002
Te  0.2464  0.5000  0.4898



A relaxed ScBeTc crystal, computed with PBE-GGA.

Energy above the most stable polymorph in this dataset (meV/atom): 467
Formation energy (eV per atom): 0.182
Theoretical density (g cm⁻³): 5.42
N(E_F) (states/eV per cell): 2.4
Size of the total moment (μB per formula unit): 0.001

Unit cell a=3.1171 b=3.1171 c=5.5281 alpha=90.00 beta=90.00 gamma=120.00
Space group P3m1 (No. 156)
Inequivalent atoms, fractional coordinates:
Sc  0.0000  0.0000  0.0000
Be  0.3333  0.6667  0.6302
Tc  0.6667  0.3333  0.3772



A relaxed TaAu2Se crystal, computed with PBE-GGA.

ΔE_f (raw) (eV per atom): 0.07
Theoretical density (g cm⁻³): 13.51
N(E_F) (states/eV per cell): 4.8
Size of the total moment (μB per formula unit): 0.000

Unit cell a=3.0647 b=4.2960 c=12.2050 alpha=90.00 beta=90.00 gamma=90.00
Space group Immm (No. 71)
Inequivalent atoms, fractional coordinates:
Ta  0.0000  0.0000  0.0000
Au  0.0000  0.5000  0.3016
Se  0.0000  0.0000  0.5000



A relaxed La6Nd8In crystal, computed with PBE-GGA.

Formation energy (eV per atom): 0.040
Theoretical density (g cm⁻³): 6.52
N(E_F) (states/eV per cell): 20.0
Size of the total moment (μB per formula unit): 0.000

Unit cell a=9.5852 b=9.5852 c=6.7291 alpha=90.00 beta=90.00 gamma=120.00
Space group P-3 (No. 147)
Inequivalent atoms, fractional coordinates:
La  0.0897  0.6467  0.1696
Nd  0.0418  0.7753  0.6806
Nd  0.3333  0.6667  0.6333
In  0.0000  0.0000  0.0000



A relaxed NaMg2In2 crystal, computed with PBE-GGA.

Energy above the most stable polymorph in this dataset (meV/atom): 42
Formation energy (eV per atom): -0.042
Theoretical density (g cm⁻³): 3.86
N(E_F) (states/eV per cell): 4.1
Size of the total moment (μB per formula unit): 0.000

Unit cell a=8.3356 b=8.3356 c=3.7264 alpha=90.00 beta=90.00 gamma=90.00
Space group P4/mbm (No. 127)
Inequivalent atoms, fractional coordinates:
Na  0.0000  0.0000  0.0000
Mg  0.1652  0.3348  0.5000
In  0.1330  0.6330  0.0000



A relaxed FeCu2Pt8 crystal, computed with PBE-GGA.

Energy above the most stable polymorph in this dataset (meV/atom): 195
Formation energy (eV per atom): 0.054
Theoretical density (g cm⁻³): 16.94
N(E_F) (states/eV per cell): 25.2
Size of the total moment (μB per formula unit): 4.689

Unit cell a=16.4378 b=3.9389 c=5.5722 alpha=90.00 beta=108.69 gamma=90.00
Space group C2/m (No. 12)
Inequivalent atoms, fractional coordinates:
Fe  0.0000  0.0000  0.0000
Cu  0.1909  0.5000  0.7586
Pt  0.0238  0.5000  0.7470
Pt  0.1079  0.0000  0.4426
Pt  0.1451  0.0000  0.9723
Pt  0.2118  0.5000  0.3137



A relaxed CsVCuTe3 crystal, computed with PBE-GGA.

ΔE_f (raw) (eV per atom): -0.48
Theoretical density (g cm⁻³): 5.55
N(E_F) (states/eV per cell): 8.7
Size of the total moment (μB per formula unit): 1.348

Unit cell a=9.7388 b=4.0421 c=10.6137 alpha=90.00 beta=115.55 gamma=90.00
Space group P2_1/m (No. 11)
Inequivalent atoms, fractional coordinates:
Cs  0.0129  0.2500  0.2616
V  0.4726  0.2500  0.1689
Cu  0.4822  0.7500  0.4019
Te  0.2735  0.7500  0.1482
Te  0.3296  0.7500  0.5591
Te  0.3536  0.2500  0.8749



A relaxed Li5Cu crystal, computed with PBE-GGA.

Energy above the most stable polymorph in this dataset (meV/atom): 0
Formation energy (eV per atom): 0.009
Theoretical density (g cm⁻³): 1.58
N(E_F) (states/eV per cell): 2.3
Size of the total moment (μB per formula unit): 0.000

Unit cell a=2.8673 b=2.8673 c=12.5576 alpha=90.00 beta=90.00 gamma=90.00
Space group P4/mmm (No. 123)
Inequivalent atoms, fractional coordinates:
Li  0.0000  0.0000  0.0000
Li  0.0000  0.0000  0.3673
Li  0.5000  0.5000  0.1832
Cu  0.5000  0.5000  0.5000



- theoretical density of number 6 (NaMg2In2)?
  3.86 g cm⁻³



- Look up the theoretical density of the sixth one.
  3.86 g cm⁻³



- Which of these has the lowest theoretical density?
  Li5Cu